# CrCoSnF6 PBE+U relaxed
data_CrCoSnF6
_chemical_formula_sum 'Cr2 Co2 Sn2 F12'
_cell_length_a 5.5244
_cell_length_b 5.5244
_cell_length_c 10.2546
_cell_angle_alpha 90.00
_cell_angle_beta 90.00
_cell_angle_gamma 120.00
_symmetry_space_group_name_H-M 'P 1'
_symmetry_Int_Tables_number 1
loop_
_symmetry_equiv_pos_as_xyz
'x,y,z'
loop_
_atom_site_label
_atom_site_fract_x
_atom_site_fract_y
_atom_site_fract_z
Cr1 0.3333 0.6667 0.2500
Cr2 0.6667 0.3333 0.7500
Co1 0.3333 0.6667 0.7500
Co2 0.6667 0.3333 0.2500
Sn1 0.0000 0.0000 0.0000
Sn2 0.0000 0.0000 0.5000
F1 0.0082 0.3593 0.6418
F2 0.0082 0.6489 0.8582
F3 0.3511 0.3593 0.8582
F4 0.3511 0.9918 0.6418
F5 0.3593 0.0082 0.1418
F6 0.3593 0.3511 0.3582
F7 0.6407 0.6489 0.6418
F8 0.6407 0.9918 0.8582
F9 0.6489 0.0082 0.3582
F10 0.6489 0.6407 0.1418
F11 0.9918 0.3511 0.1418
F12 0.9918 0.6407 0.3582
# - DFT total energy: -5.3173 eV per atom
# - Space group: P-31c
# - Crystal system: trigonal